1.
Rb3Sb2S4 | GGA-PBE | optimized geometry

E_form (uncorrected): -0.744 eV/atom
VASP energy: -34.35 eV per formula unit

Cell: 15.682 4.407 10.676 Å, 90.00 119.01 90.00°
Space group C2/m (No. 12)
One atom of each set of equivalent atoms:
Rb 0.000 0.000 0.000 x2
Rb 0.136 0.500 0.718 x4
Sb 0.156 0.500 0.380 x4
S 0.054 0.000 0.342 x4
S 0.183 0.500 0.178 x4


2.
RbSb3S | GGA-PBE | optimized geometry

E_form (uncorrected): 0.222 eV/atom
VASP energy: -16.35 eV per formula unit

Cell: 5.451 5.451 5.451 Å, 90.00 90.00 90.00°
Space group Pm-3m (No. 221)
One atom of each set of equivalent atoms:
Rb 0.000 0.000 0.000 x1
Sb 0.000 0.500 0.500 x3
S 0.500 0.500 0.500 x1


3.
RbSb2S4 | GGA-PBE | optimized geometry

E_form (uncorrected): -0.460 eV/atom
VASP energy: -28.95 eV per formula unit
energy relative to the lowest polymorph listed for this composition: 0.000 eV/atom

Cell: 7.318 8.750 9.060 Å, 104.86 113.30 103.13°
Space group P1 (No. 1)
One atom of each set of equivalent atoms:
Rb 0.000 0.000 0.000 x1
Rb 0.314 0.476 0.824 x1
Sb 0.242 0.853 0.552 x1
Sb 0.690 0.762 0.455 x1
Sb 0.692 0.199 0.482 x1
Sb 0.745 0.375 0.161 x1
S 0.023 0.708 0.663 x1
S 0.412 0.925 0.288 x1
S 0.458 0.382 0.216 x1
S 0.505 0.709 0.631 x1
S 0.635 0.227 0.870 x1
S 0.930 0.240 0.341 x1
S 0.947 0.074 0.638 x1
S 0.974 0.659 0.226 x1


4.
Rb3Sb5S12 | GGA-PBE | optimized geometry

E_form (uncorrected): -0.362 eV/atom
VASP energy: -80.29 eV per formula unit

Cell: 16.802 16.802 16.802 Å, 90.00 90.00 90.00°
Space group Ia-3d (No. 230)
One atom of each set of equivalent atoms:
Rb 0.000 0.250 0.125 x24
Sb 0.000 0.000 0.000 x16
Sb 0.000 0.250 0.375 x24
S 0.038 0.054 0.650 x96